! AcSiNi3 GGA-PBE relaxed; values from VASP
! E_form (uncorrected) = -0.276 eV per atom
! polymorph energy (0 for the lowest one) = 74 meV per atom
! spin magnetization = 0.00 μB/f.u.
! ρ = 8.05 Mg/m³
! DOS at the Fermi energy = 5.32 states/eV per cell
&SYSTEM
  ibrav = 0, nat = 5, ntyp = 3
/
ATOMIC_SPECIES
Ac 227.00 Ac.upf
Si 28.09 Si.upf
Ni 58.69 Ni.upf
CELL_PARAMETERS angstrom
3.1530 -3.1614 0.0000
3.1530 3.1614 0.0000
0.0000 0.0000 4.4622
ATOMIC_POSITIONS crystal
Ac 0.0000 0.0000 0.0000
Si 0.5000 0.5000 0.5000
Ni 0.0000 0.5000 0.5000
Ni 0.5000 0.0000 0.5000
Ni 0.5000 0.5000 0.0000

***

! ReGeAu3 GGA-PBE relaxed; values from VASP
! polymorph energy (0 for the lowest one) = 0 meV per atom
! formation energy = 1309 meV/atom
! spin magnetization = 0.00 μB/f.u.
! ρ = 11.08 Mg/m³
! DOS at the Fermi energy = 7.02 states/eV per cell
&SYSTEM
  ibrav = 0, nat = 5, ntyp = 3
/
ATOMIC_SPECIES
Re 186.21 Re.upf
Ge 72.64 Ge.upf
Au 196.97 Au.upf
CELL_PARAMETERS angstrom
5.0312 0.0000 0.0000
0.0000 5.0312 0.0000
0.0000 0.0000 5.0312
ATOMIC_POSITIONS crystal
Re 0.0000 0.0000 0.0000
Ge 0.5000 0.5000 0.5000
Au 0.0000 0.0000 0.5000
Au 0.0000 0.5000 0.0000
Au 0.5000 0.0000 0.0000

***

! PmNdO2 GGA-PBE relaxed; values from VASP
! E_form (uncorrected) = -2.638 eV per atom
! polymorph energy (0 for the lowest one) = 106 meV per atom
! spin magnetization = 0.00 μB/f.u.
! ρ = 8.26 Mg/m³
! DOS at the Fermi energy = 0.43 states/eV per cell
&SYSTEM
  ibrav = 0, nat = 4, ntyp = 3
/
ATOMIC_SPECIES
Pm 145.00 Pm.upf
Nd 144.24 Nd.upf
O 16.00 O.upf
CELL_PARAMETERS angstrom
1.7505 1.0106 6.0855
-1.7505 1.0106 6.0855
0.0000 -2.0213 6.0855
ATOMIC_POSITIONS crystal
Pm 0.0000 0.0000 0.0000
Nd 0.1770 0.1770 0.1770
O 0.5884 0.5884 0.5884
O 0.7534 0.7534 0.7534

***

! La2DyAg GGA-PBE relaxed; values from VASP
! polymorph energy (0 for the lowest one) = 126 meV per atom
! formation energy = 4 meV/atom
! spin magnetization = 0.00 μB/f.u.
! ρ = 7.13 Mg/m³
! DOS at the Fermi energy = 4.70 states/eV per cell
&SYSTEM
  ibrav = 0, nat = 4, ntyp = 3
/
ATOMIC_SPECIES
La 138.91 La.upf
Dy 162.50 Dy.upf
Ag 107.87 Ag.upf
CELL_PARAMETERS angstrom
1.8586 1.0731 10.6709
-1.8586 1.0731 10.6709
0.0000 -2.1462 10.6709
ATOMIC_POSITIONS crystal
La 0.0000 0.0000 0.0000
La 0.1811 0.1811 0.1811
Dy 0.4233 0.4233 0.4233
Ag 0.5913 0.5913 0.5913

***

! CuP2Br8 GGA-PBE relaxed; values from VASP
! E_form (uncorrected) = -0.256 eV per atom
! spin magnetization = 1.02 μB/f.u.
! ρ = 2.47 Mg/m³
! DOS at the Fermi energy = 7.60 states/eV per cell
&SYSTEM
  ibrav = 0, nat = 11, ntyp = 3
/
ATOMIC_SPECIES
Cu 63.55 Cu.upf
P 30.97 P.upf
Br 79.90 Br.upf
CELL_PARAMETERS angstrom
5.6011 -5.7106 0.0000
5.6011 5.7106 0.0000
-3.9761 0.0000 8.0521
ATOMIC_POSITIONS crystal
Cu 0.0000 0.0000 0.0000
P 0.2306 0.2306 0.6164
P 0.7694 0.7694 0.3836
Br 0.0367 0.3448 0.7439
Br 0.1999 0.1999 0.2124
Br 0.3448 0.0367 0.7439
Br 0.4532 0.4532 0.7237
Br 0.5468 0.5468 0.2763
Br 0.6552 0.9633 0.2561
Br 0.8001 0.8001 0.7876
Br 0.9633 0.6552 0.2561

***

! ReTcRh3 GGA-PBE relaxed; values from VASP
! polymorph energy (0 for the lowest one) = 0 meV per atom
! formation energy = -74 meV/atom
! spin magnetization = 0.00 μB/f.u.
! ρ = 13.72 Mg/m³
! DOS at the Fermi energy = 9.26 states/eV per cell
&SYSTEM
  ibrav = 0, nat = 10, ntyp = 3
/
ATOMIC_SPECIES
Re 186.21 Re.upf
Tc 98.00 Tc.upf
Rh 102.91 Rh.upf
CELL_PARAMETERS angstrom
3.8675 0.0000 0.0000
-1.9313 4.3352 0.0000
-0.0120 -0.1316 8.5617
ATOMIC_POSITIONS crystal
Re 0.0484 0.0965 0.3455
Re 0.9516 0.9035 0.6545
Tc 0.4512 0.9027 0.1540
Tc 0.5488 0.0973 0.8460
Rh 0.1481 0.2959 0.0556
Rh 0.2507 0.5013 0.7500
Rh 0.3526 0.7049 0.4458
Rh 0.6474 0.2951 0.5542
Rh 0.7493 0.4987 0.2500
Rh 0.8519 0.7041 0.9444